# 1
Density functional theory data (PBE-GGA) for a geometry-optimized ZrSc2Hg structure. Values from VASP.

Formation energy from the elements = -0.12 eV per atom
Total moment = 1.7 μB/f.u.
Symmetry = No. 139
Uncorrected energy = -43.97 eV/cell

```
&SYSTEM
  ibrav = 0, nat = 8, ntyp = 3
/
ATOMIC_SPECIES
Zr 91.22 Zr.upf
Sc 44.96 Sc.upf
Hg 200.59 Hg.upf
CELL_PARAMETERS angstrom
4.421 0.000 0.000
0.000 4.421 0.000
0.000 0.000 9.145
ATOMIC_POSITIONS angstrom
Zr 0.000 0.000 0.000
Zr 2.210 2.210 4.573
Sc 0.000 2.210 2.286
Sc 0.000 2.210 6.859
Sc 2.210 0.000 2.286
Sc 2.210 0.000 6.859
Hg 0.000 0.000 4.573
Hg 2.210 2.210 0.000
```

=====

# 2
Density functional theory data (PBE-GGA) for a geometry-optimized Be2AsI8 structure. Values from VASP.

Formation energy from raw total energies = -315.4 meV per atom
Total moment = 0.0 μB/f.u.
Symmetry = No. 12
Uncorrected energy = -27.97 eV/cell

```
&SYSTEM
  ibrav = 0, nat = 11, ntyp = 3
/
ATOMIC_SPECIES
Be 9.01 Be.upf
As 74.92 As.upf
I 126.90 I.upf
CELL_PARAMETERS angstrom
5.783 -6.577 0.000
5.783 6.577 0.000
-1.603 0.000 6.671
ATOMIC_POSITIONS angstrom
Be 2.094 0.000 1.278
Be 7.869 0.000 5.393
As -0.801 0.000 3.336
I 3.308 4.642 4.654
I 1.115 0.000 5.587
I 6.654 4.642 2.018
I 4.450 0.000 1.783
I 5.513 0.000 4.888
I 3.308 -4.642 4.654
I 8.847 0.000 1.085
I 6.654 -4.642 2.018
```

=====

# 3
Density functional theory data (PBE-GGA) for a geometry-optimized HfBe3Co4 structure. Values from VASP.

Formation energy from the elements = -0.28 eV per atom
Total moment = 0.0 μB/f.u.
Symmetry = No. 123
Uncorrected energy = -51.83 eV/cell

```
&SYSTEM
  ibrav = 0, nat = 8, ntyp = 3
/
ATOMIC_SPECIES
Hf 178.49 Hf.upf
Be 9.01 Be.upf
Co 58.93 Co.upf
CELL_PARAMETERS angstrom
3.865 0.000 0.000
0.000 3.865 0.000
0.000 0.000 5.643
ATOMIC_POSITIONS angstrom
Hf 0.000 0.000 0.000
Be 0.000 0.000 2.822
Be 1.933 1.933 0.000
Be 1.933 1.933 2.822
Co 0.000 1.933 1.594
Co 0.000 1.933 4.049
Co 1.933 0.000 1.594
Co 1.933 0.000 4.049
```

=====

# 4
Density functional theory data (PBE-GGA) for a geometry-optimized Ti2SnPd structure. Values from VASP.

Formation energy from the elements = -0.46 eV per atom
Total moment = 0.0 μB/f.u.
Symmetry = No. 123
Uncorrected energy = -26.82 eV/cell

```
&SYSTEM
  ibrav = 0, nat = 4, ntyp = 3
/
ATOMIC_SPECIES
Ti 47.87 Ti.upf
Sn 118.71 Sn.upf
Pd 106.42 Pd.upf
CELL_PARAMETERS angstrom
4.008 0.000 0.000
0.000 4.008 0.000
0.000 0.000 4.290
ATOMIC_POSITIONS angstrom
Ti 0.000 2.004 0.000
Ti 2.004 0.000 0.000
Sn 0.000 0.000 2.145
Pd 2.004 2.004 2.145
```